Below is a relaxed structure of HoHfZn2Ir4, with properties calculated at the PBE-GGA level.

a = 4.508 Å, b = 4.508 Å, c = 6.421 Å
α = 90.00°, β = 90.00°, γ = 90.00°
Sites, in units of the cell vectors:
Ho 0.000 0.000 0.000
Hf 0.500 0.500 0.500
Zn 0.000 0.000 0.500
Zn 0.500 0.500 0.000
Ir 0.000 0.500 0.261
Ir 0.000 0.500 0.739
Ir 0.500 0.000 0.261
Ir 0.500 0.000 0.739

DFT total energy	-7.144	eV/atom
volume	16.31	Å³ per atom
energy of formation from the pure elements	-4.67	eV/f.u.